Entry 1:
{"formula": "Nd3Sm2Tm5", "functional": "PBE", "state": "relaxed", "cell": [[8.3635, 1.6000, -3.9097], [0.2651, 8.4720, -3.9701], [-1.6893, -1.8818, 10.8460]], "species": ["Tm", "Tm", "Tm", "Tm", "Tm", "Tm", "Tm", "Tm", "Tm", "Tm", "Nd", "Nd", "Nd", "Nd", "Nd", "Nd", "Sm", "Sm", "Sm", "Sm"], "fractional_positions": [[0.0258, 0.7758, 0.5515], [0.2712, 0.5212, 0.0424], [0.7288, 0.4788, 0.9576], [0.1356, 0.3886, 0.2723], [0.9742, 0.2242, 0.4485], [0.4737, 0.7237, 0.4474], [0.3633, 0.1163, 0.7277], [0.6367, 0.8837, 0.2723], [0.8644, 0.6114, 0.7277], [0.5263, 0.2763, 0.5526], [0.2735, 0.5212, 0.7463], [0.0273, 0.7750, 0.2537], [0.7675, 0.0175, 0.0350], [0.9727, 0.2250, 0.7463], [0.7265, 0.4788, 0.2537], [0.2325, 0.9825, 0.9650], [0.2330, 0.9802, 0.2602], [0.4727, 0.7199, 0.7398], [0.7670, 0.0198, 0.7398], [0.5273, 0.2801, 0.2602]], "magnetic_moment_mub_per_fu": 0.00, "e_tot_ev_per_fu": -44.25}

Entry 2:
{"formula": "Nd4SmTm", "functional": "PBE", "state": "relaxed", "cell": [[-1.3300, 0.9139, 3.0886], [3.7646, -2.3674, 4.2874], [4.7080, 9.0475, 1.3161]], "species": ["Nd", "Nd", "Nd", "Nd", "Sm", "Tm"], "fractional_positions": [[0.8448, 0.9682, 0.3422], [0.3446, 0.4647, 0.8462], [0.1552, 0.0318, 0.6578], [0.6554, 0.5353, 0.1538], [0.5000, 0.5000, 0.5000], [0.0000, 0.0000, 0.0000]], "magnetic_moment_mub_per_fu": 0.00, "e_tot_ev_per_fu": -27.20}

Entry 3:
{"formula": "NdSm6Tm2", "functional": "PBE", "state": "relaxed", "cell": [[-5.0738, 0.5106, 8.6779], [4.9186, -8.0970, -3.3997], [2.9891, 1.5778, 1.3486]], "species": ["Tm", "Tm", "Sm", "Sm", "Sm", "Sm", "Sm", "Sm", "Nd"], "fractional_positions": [[0.1667, 0.8333, 0.5000], [0.8333, 0.1667, 0.5000], [0.3345, 0.3345, 0.6743], [0.1622, 0.5005, 0.1762], [0.4995, 0.8378, 0.8238], [0.8378, 0.4995, 0.8238], [0.6655, 0.6655, 0.3257], [0.5005, 0.1622, 0.1762], [0.0000, 0.0000, 0.0000]], "magnetic_moment_mub_per_fu": 0.00, "e_tot_ev_per_fu": -41.00}

Entry 4:
{"formula": "Nd2Sm12Tm5", "functional": "PBE", "state": "relaxed", "cell": [[-1.4654, 0.8231, -9.1487], [8.4081, -8.9310, 2.5784], [-8.5106, 0.6608, 1.4227]], "species": ["Tm", "Tm", "Tm", "Tm", "Tm", "Sm", "Sm", "Sm", "Sm", "Sm", "Sm", "Sm", "Sm", "Sm", "Sm", "Sm", "Sm", "Nd", "Nd"], "fractional_positions": [[0.6984, 0.3969, 0.3805], [0.3016, 0.6031, 0.6195], [0.7697, 0.5394, 0.1108], [0.0000, 0.0000, 0.5000], [0.2303, 0.4606, 0.8892], [0.1811, 0.7484, 0.4089], [0.4327, 0.2516, 0.5911], [0.3364, 0.3111, 0.0727], [0.0253, 0.6889, 0.9273], [0.8189, 0.2516, 0.5911], [0.0911, 0.1821, 0.3000], [0.5673, 0.7484, 0.4089], [0.6636, 0.6889, 0.9273], [0.9747, 0.3111, 0.0727], [0.4368, 0.8737, 0.2095], [0.9089, 0.8179, 0.7000], [0.5632, 0.1263, 0.7905], [0.3229, 0.0000, 0.0000], [0.6771, 0.0000, 0.0000]], "magnetic_moment_mub_per_fu": 0.00, "e_tot_ev_per_fu": -86.03}

Entry 5:
{"formula": "Nd2Sm7Tm3", "functional": "PBE", "state": "relaxed", "cell": [[-2.1832, -2.5924, -1.0664], [4.1111, -4.3868, 2.2479], [-5.1130, -2.7361, 17.1196]], "species": ["Tm", "Tm", "Tm", "Sm", "Sm", "Sm", "Sm", "Sm", "Sm", "Sm", "Nd", "Nd"], "fractional_positions": [[0.0000, 0.8872, 0.6580], [0.5000, 0.5000, 0.0000], [0.0000, 0.1128, 0.3420], [0.5000, 0.9407, 0.8304], [0.5000, 0.2388, 0.5032], [0.0000, 0.0000, 0.0000], [0.5000, 0.7612, 0.4968], [0.0000, 0.4403, 0.8365], [0.0000, 0.5597, 0.1635], [0.5000, 0.0593, 0.1696], [0.5000, 0.6131, 0.3286], [0.5000, 0.3869, 0.6714]], "magnetic_moment_mub_per_fu": 0.00, "e_tot_ev_per_fu": -55.17}

Entry 6:
{"formula": "Nd2Sm3Tm8", "functional": "PBE", "state": "relaxed", "cell": [[6.3876, 0.5476, 2.5075], [2.5038, 8.0122, 4.3773], [1.1849, 0.4912, 9.3798]], "species": ["Nd", "Nd", "Tm", "Tm", "Tm", "Tm", "Tm", "Tm", "Tm", "Tm", "Sm", "Sm", "Sm"], "fractional_positions": [[0.5194, 0.7795, 0.7795], [0.4806, 0.2205, 0.2205], [0.5633, 0.5634, 0.2017], [0.9897, 0.8072, 0.8072], [0.4367, 0.4366, 0.7983], [0.5633, 0.2017, 0.5634], [0.0103, 0.1928, 0.1928], [0.0746, 0.5794, 0.5794], [0.9254, 0.4206, 0.4206], [0.4367, 0.7983, 0.4366], [0.0000, 0.1764, 0.8236], [0.0000, 0.8236, 0.1764], [0.5000, 0.0000, 0.0000]], "magnetic_moment_mub_per_fu": 0.00, "e_tot_ev_per_fu": -56.40}

Entry 7:
{"formula": "Nd3Sm3Tm4", "functional": "PBE", "state": "relaxed", "cell": [[3.6425, 0.0000, 0.0000], [0.0000, 9.5870, -0.0383], [0.0000, 0.0460, 9.5870]], "species": ["Sm", "Sm", "Sm", "Nd", "Nd", "Nd", "Tm", "Tm", "Tm", "Tm"], "fractional_positions": [[0.5000, 0.8248, 0.1752], [0.5000, 0.3256, 0.3250], [0.5000, 0.6750, 0.6744], [0.0000, 0.5014, 0.0004], [0.5000, 0.1748, 0.8252], [0.0000, 0.9996, 0.4986], [0.0000, 0.3788, 0.6212], [0.0000, 0.8768, 0.8790], [0.0000, 0.1210, 0.1232], [0.0000, 0.6220, 0.3780]], "magnetic_moment_mub_per_fu": 0.34, "e_tot_ev_per_fu": -45.47}

Entry 8:
{"formula": "Nd3Sm5Tm2", "functional": "PBE", "state": "relaxed", "cell": [[6.7977, 0.0000, 0.0000], [3.3989, 10.5469, 0.9480], [3.3989, 3.7128, 9.9172]], "species": ["Sm", "Sm", "Sm", "Sm", "Sm", "Sm", "Sm", "Sm", "Sm", "Sm", "Tm", "Tm", "Tm", "Tm", "Nd", "Nd", "Nd", "Nd", "Nd", "Nd"], "fractional_positions": [[0.4300, 0.8200, 0.8200], [0.0700, 0.1800, 0.1800], [0.2500, 0.5000, 0.5000], [0.5700, 0.1800, 0.1800], [0.7500, 0.5000, 0.5000], [0.6709, 0.2225, 0.4356], [0.8291, 0.5644, 0.7775], [0.3291, 0.7775, 0.5644], [0.9300, 0.8200, 0.8200], [0.1709, 0.4356, 0.2225], [0.4750, 0.7888, 0.2612], [0.0250, 0.7388, 0.2112], [0.9750, 0.2612, 0.7888], [0.5250, 0.2112, 0.7388], [0.2500, 0.0000, 0.0000], [0.8304, 0.8757, 0.4635], [0.6696, 0.5365, 0.1243], [0.1696, 0.1243, 0.5365], [0.7500, 0.0000, 0.0000], [0.3304, 0.4635, 0.8757]], "magnetic_moment_mub_per_fu": 0.00, "e_tot_ev_per_fu": -44.37}

Entry 9:
{"formula": "NdSm3Tm6", "functional": "PBE", "state": "relaxed", "cell": [[8.6945, 0.0000, 4.6139], [3.1230, 8.1142, 4.6139], [2.2233, 1.5266, 6.3093]], "species": ["Tm", "Tm", "Tm", "Tm", "Tm", "Tm", "Nd", "Sm", "Sm", "Sm"], "fractional_positions": [[0.4006, 0.7283, 0.7989], [0.2295, 0.9003, 0.2993], [0.9003, 0.5709, 0.2993], [0.0721, 0.4006, 0.7989], [0.5709, 0.2295, 0.2993], [0.7283, 0.0721, 0.7989], [0.8997, 0.8997, 0.3008], [0.6481, 0.6481, 0.0556], [0.1508, 0.1508, 0.5477], [0.3996, 0.3996, 0.8011]], "magnetic_moment_mub_per_fu": 0.00, "e_tot_ev_per_fu": -42.71}

Entry 10:
{"formula": "Nd6Sm8Tm", "functional": "PBE", "state": "relaxed", "cell": [[-5.0974, -3.4617, 6.8944], [3.2797, -6.9572, 5.1322], [2.2521, 1.1427, 8.4395]], "species": ["Sm", "Sm", "Sm", "Sm", "Sm", "Sm", "Sm", "Sm", "Nd", "Nd", "Nd", "Nd", "Nd", "Nd", "Tm"], "fractional_positions": [[0.7183, 0.1128, 0.4186], [0.8872, 0.2497, 0.5814], [0.5775, 0.5775, 0.2675], [0.2817, 0.8872, 0.5814], [0.7503, 0.7183, 0.4186], [0.4225, 0.4225, 0.7325], [0.2497, 0.2817, 0.5814], [0.1128, 0.7503, 0.4186], [0.4609, 0.9006, 0.8741], [0.2356, 0.5391, 0.1259], [0.9006, 0.7644, 0.8741], [0.5391, 0.0994, 0.1259], [0.7644, 0.4609, 0.8741], [0.0994, 0.2356, 0.1259], [0.0000, 0.0000, 0.0000]], "magnetic_moment_mub_per_fu": 0.00, "e_tot_ev_per_fu": -69.16}

Entry 11:
{"formula": "Nd7Sm3Tm2", "functional": "PBE", "state": "relaxed", "cell": [[3.6208, 0.0000, 0.0000], [0.0000, 5.9338, -0.2792], [0.0000, -3.9073, 19.3593]], "species": ["Sm", "Sm", "Sm", "Tm", "Tm", "Nd", "Nd", "Nd", "Nd", "Nd", "Nd", "Nd"], "fractional_positions": [[0.0000, 0.1497, 0.3663], [0.0000, 0.8503, 0.6337], [0.5000, 0.5000, 0.0000], [0.5000, 0.4107, 0.7033], [0.5000, 0.5893, 0.2967], [0.5000, 0.9988, 0.8170], [0.5000, 0.7221, 0.4650], [0.0000, 0.0000, 0.0000], [0.5000, 0.0012, 0.1830], [0.0000, 0.5337, 0.8538], [0.0000, 0.4663, 0.1462], [0.5000, 0.2779, 0.5350]], "magnetic_moment_mub_per_fu": 0.00, "e_tot_ev_per_fu": -55.38}

Entry 12:
{"formula": "NdSm5Tm3", "functional": "PBE", "state": "relaxed", "cell": [[-3.4097, -5.3057, -2.3412], [3.4726, 6.3258, -9.7278], [5.1583, -6.7547, 7.7953]], "species": ["Nd", "Nd", "Sm", "Sm", "Sm", "Sm", "Sm", "Sm", "Sm", "Sm", "Sm", "Sm", "Tm", "Tm", "Tm", "Tm", "Tm", "Tm"], "fractional_positions": [[0.2428, 0.0000, 0.2500], [0.7572, 0.0000, 0.7500], [0.9172, 0.6575, 0.5037], [0.0828, 0.3425, 0.4963], [0.3942, 0.7764, 0.3287], [0.3118, 0.0000, 0.7500], [0.7403, 0.6575, 0.0037], [0.3822, 0.7764, 0.8287], [0.2597, 0.3425, 0.9963], [0.6882, 0.0000, 0.2500], [0.6058, 0.2236, 0.6713], [0.6178, 0.2236, 0.1713], [0.0000, 0.0000, 0.0000], [0.0000, 0.0000, 0.5000], [0.6415, 0.4797, 0.6067], [0.3585, 0.5203, 0.3933], [0.8382, 0.4797, 0.1067], [0.1618, 0.5203, 0.8933]], "magnetic_moment_mub_per_fu": 0.00, "e_tot_ev_per_fu": -40.13}